Record 1
! Dy2ErSc3Bi6 (PBE, relaxed); values from VASP
! space group	No. 12
! magnetic moment	0.0	μB/cell
! crystal system	monoclinic
! ΔE_f	-0.75	eV per atom
! VASP energy	-5.419	eV/atom
&SYSTEM
  ibrav = 0, nat = 12, ntyp = 4
/
ATOMIC_SPECIES
Dy 162.50 Dy.upf
Er 167.26 Er.upf
Sc 44.96 Sc.upf
Bi 208.98 Bi.upf
CELL_PARAMETERS angstrom
3.7841 -6.5567 0.0000
3.7841 6.5567 0.0000
-2.5213 0.0000 7.1245
ATOMIC_POSITIONS crystal
Dy 0.1664 0.8336 0.0000
Dy 0.8336 0.1664 0.0000
Er 0.5000 0.5000 0.0000
Sc 0.0000 0.0000 0.5000
Sc 0.3325 0.6675 0.5000
Sc 0.6675 0.3325 0.5000
Bi 0.0802 0.4123 0.7364
Bi 0.2563 0.2563 0.2644
Bi 0.4123 0.0802 0.7364
Bi 0.5877 0.9198 0.2636
Bi 0.7437 0.7437 0.7356
Bi 0.9198 0.5877 0.2636

=====

Record 2
! Th2ScAu (PBE, relaxed); values from VASP
! space group	No. 123
! magnetic moment	0.0	μB/cell
! energy relative to the lowest polymorph listed for this composition	0	meV/atom
! crystal system	tetragonal
! ΔE_f	-0.21	eV per atom
! VASP energy	-6.322	eV/atom
&SYSTEM
  ibrav = 0, nat = 4, ntyp = 3
/
ATOMIC_SPECIES
Th 232.04 Th.upf
Sc 44.96 Sc.upf
Au 196.97 Au.upf
CELL_PARAMETERS angstrom
3.5160 0.0000 0.0000
0.0000 3.5160 0.0000
0.0000 0.0000 8.9792
ATOMIC_POSITIONS crystal
Th 0.0000 0.0000 0.2288
Th 0.0000 0.0000 0.7712
Sc 0.5000 0.5000 0.5000
Au 0.5000 0.5000 0.0000

=====

Record 3
! Cr2SiAu (PBE, relaxed); values from VASP
! space group	No. 12
! magnetic moment	0.0	μB/cell
! crystal system	monoclinic
! VASP energy	-6.789	eV/atom
&SYSTEM
  ibrav = 0, nat = 8, ntyp = 3
/
ATOMIC_SPECIES
Cr 52.00 Cr.upf
Si 28.09 Si.upf
Au 196.97 Au.upf
CELL_PARAMETERS angstrom
8.4607 0.0000 0.0000
0.0000 3.5747 0.0000
-1.3781 0.0000 3.6844
ATOMIC_POSITIONS crystal
Cr 0.2409 0.0000 0.1732
Cr 0.2591 0.5000 0.8268
Cr 0.7409 0.5000 0.1732
Cr 0.7591 0.0000 0.8268
Si 0.0000 0.5000 0.0000
Si 0.5000 0.0000 0.0000
Au 0.0000 0.0000 0.5000
Au 0.5000 0.5000 0.5000

=====

Record 4
! K2CaGaP2 (PBE, relaxed); values from VASP
! space group	No. 72
! magnetic moment	0.0	μB/cell
! crystal system	orthorhombic
! ΔE_f	-0.50	eV per atom
! VASP energy	-3.508	eV/atom
&SYSTEM
  ibrav = 0, nat = 12, ntyp = 4
/
ATOMIC_SPECIES
K 39.10 K.upf
Ca 40.08 Ca.upf
Ga 69.72 Ga.upf
P 30.97 P.upf
CELL_PARAMETERS angstrom
-3.3425 7.4970 3.3795
3.3425 -7.4970 3.3795
3.3425 7.4970 -3.3795
ATOMIC_POSITIONS crystal
K 0.1846 0.2135 0.3981
K 0.3154 0.7135 0.0289
K 0.6846 0.2865 0.9711
K 0.8154 0.7865 0.6019
Ca 0.2500 0.7500 0.5000
Ca 0.7500 0.2500 0.5000
Ga 0.2500 0.2500 0.0000
Ga 0.7500 0.7500 0.0000
P 0.0911 0.7769 0.8680
P 0.4089 0.2769 0.6858
P 0.5911 0.7231 0.3142
P 0.9089 0.2231 0.1320

=====

Record 5
! La5Dy2Tl4 (PBE, relaxed); values from VASP
! space group	No. 10
! magnetic moment	0.4	μB/cell
! crystal system	monoclinic
! ΔE_f	-0.24	eV per atom
! VASP energy	-4.173	eV/atom
&SYSTEM
  ibrav = 0, nat = 11, ntyp = 3
/
ATOMIC_SPECIES
La 138.91 La.upf
Dy 162.50 Dy.upf
Tl 204.38 Tl.upf
CELL_PARAMETERS angstrom
8.9638 0.0000 0.0000
0.0000 3.5019 0.0000
-1.0539 0.0000 10.8764
ATOMIC_POSITIONS crystal
La 0.0000 0.0000 0.0000
La 0.0363 0.0000 0.3381
La 0.3414 0.0000 0.8621
La 0.6586 0.0000 0.1379
La 0.9637 0.0000 0.6619
Dy 0.4225 0.0000 0.3613
Dy 0.5775 0.0000 0.6387
Tl 0.2623 0.5000 0.5745
Tl 0.3000 0.5000 0.1293
Tl 0.7000 0.5000 0.8707
Tl 0.7377 0.5000 0.4255

=====

Record 6
! Hf5Fe2Pb (PBE, relaxed); values from VASP
! space group	No. 140
! magnetic moment	0.0	μB/cell
! crystal system	tetragonal
! ΔE_f	-0.13	eV per atom
! VASP energy	-8.928	eV/atom
&SYSTEM
  ibrav = 0, nat = 16, ntyp = 3
/
ATOMIC_SPECIES
Hf 178.49 Hf.upf
Fe 55.84 Fe.upf
Pb 207.20 Pb.upf
CELL_PARAMETERS angstrom
-3.4683 3.4683 6.6703
3.4683 -3.4683 6.6703
3.4683 3.4683 -6.6703
ATOMIC_POSITIONS crystal
Hf 0.0000 0.0000 0.0000
Hf 0.0294 0.5294 0.8138
Hf 0.2156 0.0294 0.5000
Hf 0.2844 0.7844 0.8138
Hf 0.4706 0.2844 0.5000
Hf 0.5000 0.5000 0.0000
Hf 0.5294 0.7156 0.5000
Hf 0.7156 0.2156 0.1862
Hf 0.7844 0.9706 0.5000
Hf 0.9706 0.4706 0.1862
Fe 0.1400 0.3600 0.5000
Fe 0.3600 0.8600 0.2199
Fe 0.6400 0.1400 0.7801
Fe 0.8600 0.6400 0.5000
Pb 0.2500 0.2500 0.0000
Pb 0.7500 0.7500 0.0000

=====

Which value of VASP energy does entry 1 give?
-5.419 eV/atom